Material: TiAlHgPd
Method: DFT, GGA-PBE
State: relaxed Values from VASP.

## Properties
formation energy from the elements	-1.2	eV per formula unit
mass density	9388	kg/m3
crystal system	cubic
magnetization	0.0	Bohr magnetons per cell

```
&SYSTEM
  ibrav = 0, nat = 4, ntyp = 4
/
ATOMIC_SPECIES
Pd 106.42 Pd.upf
Hg 200.59 Hg.upf
Al 26.98 Al.upf
Ti 47.87 Ti.upf
CELL_PARAMETERS angstrom
4.5712 0.0000 0.0000
2.2856 3.9588 0.0000
2.2856 1.3196 3.7324
ATOMIC_POSITIONS angstrom
Pd 0.0000 0.0000 0.0000
Hg 4.5712 2.6392 1.8662
Al 6.8568 3.9588 2.7993
Ti 2.2856 1.3196 0.9331
```

Material: VCuSb
Method: DFT, GGA-PBE
State: relaxed Values from VASP.

## Properties
mass density	6912	kg/m3
crystal system	tetragonal
magnetization	0.0	Bohr magnetons per cell
ΔE_f (raw)	0.1084	eV per atom

```
&SYSTEM
  ibrav = 0, nat = 12, ntyp = 3
/
ATOMIC_SPECIES
Sb 121.76 Sb.upf
Cu 63.55 Cu.upf
V 50.94 V.upf
CELL_PARAMETERS angstrom
3.3381 0.0000 0.0000
0.0000 8.2468 0.0000
0.0000 0.0000 8.2468
ATOMIC_POSITIONS angstrom
Sb 0.0000 7.2141 2.5711
Sb 1.6691 2.5711 1.0327
Cu 0.0000 3.3828 7.1930
V 1.6691 5.0210 3.0938
V 0.0000 3.0938 3.2258
Cu 1.6691 1.0539 3.3828
V 1.6691 3.2258 5.1531
Sb 1.6691 5.6757 7.2141
Cu 0.0000 4.8640 1.0539
V 0.0000 5.1531 5.0210
Cu 1.6691 7.1930 4.8640
Sb 0.0000 1.0327 5.6757
```

Material: BaZr2BiSe
Method: DFT, GGA-PBE
State: relaxed Values from VASP.

## Properties
mass density	5631	kg/m3
crystal system	tetragonal
magnetization	0.0	Bohr magnetons per cell
ΔE_f (raw)	1.6742	eV per atom

```
&SYSTEM
  ibrav = 0, nat = 5, ntyp = 4
/
ATOMIC_SPECIES
Ba 137.33 Ba.upf
Bi 208.98 Bi.upf
Se 78.96 Se.upf
Zr 91.22 Zr.upf
CELL_PARAMETERS angstrom
5.4303 0.0000 0.0000
0.0000 6.0772 0.0000
0.0000 0.0000 5.4303
ATOMIC_POSITIONS angstrom
Ba 0.0000 0.0000 0.0000
Bi 0.0000 3.0386 0.0000
Se 2.7152 3.0386 2.7152
Zr 0.0000 0.0000 2.7152
Zr 2.7152 0.0000 0.0000
```